No. 1
PBE Zr2NbAl5Pd2, relaxed; size of the total moment = 0.00 μB/f.u.; SG = No. 127; mass density = 5.96 g/cm3; DOS at the Fermi energy = 5.26 states/eV/f.u.; formation energy from the elements = -5.62 eV/f.u.
1.0
-1.151 -2.395 -3.104
2.519 -7.450 4.814
-8.481 -0.558 3.574
Zr Nb Al Pd
4 2 10 4
direct
0.000 0.680 0.180
0.000 0.320 0.820
0.000 0.180 0.320
0.000 0.820 0.680
0.000 0.000 0.000
0.000 0.500 0.500
0.500 0.206 0.059
0.500 0.794 0.941
0.500 0.059 0.794
0.500 0.706 0.441
0.500 0.941 0.206
0.500 0.294 0.559
0.500 0.559 0.706
0.500 0.441 0.294
0.500 0.500 0.000
0.500 0.000 0.500
0.000 0.118 0.618
0.000 0.882 0.382
0.000 0.618 0.882
0.000 0.382 0.118

=====

No. 2
PBE RePtAu2, relaxed; size of the total moment = 0.00 μB/f.u.; SG = No. 65; polymorph energy (0 for the lowest one) = 331 meV per atom; mass density = 19.50 g/cm3; DOS at the Fermi energy = 4.31 states/eV/f.u.; formation energy from the elements = 1.80 eV/f.u.
1.0
5.147 -0.061 0.000
-2.100 4.699 0.000
0.000 0.000 2.744
Au Pt Re
2 1 1
direct
0.000 0.000 0.000
0.500 0.500 0.000
0.500 0.000 0.500
0.000 0.500 0.500

=====

No. 3
PBE Dy2MgAu, relaxed; size of the total moment = 0.00 μB/f.u.; SG = No. 123; polymorph energy (0 for the lowest one) = 0 meV per atom; mass density = 9.11 g/cm3; DOS at the Fermi energy = 3.41 states/eV/f.u.; formation energy from the elements = -1.88 eV/f.u.
1.0
-2.645 0.654 -2.502
0.278 -3.487 -1.205
-5.054 -2.063 4.804
Mg Au Dy
1 1 2
direct
0.500 0.500 0.500
0.500 0.500 0.000
0.000 0.000 0.765
0.000 0.000 0.235